The following is a DFT calculation (PBE) of a relaxed structure of Nb2AgSb.

Lattice parameters (Å, degrees): 4.7635 4.7635 4.7635 60.00 60.00 60.00
Closest atoms and distances in Å follow each position.
Element x y z (fractional)
Ag (0.2500, 0.2500, 0.2500)  4 Sb 2.92, 4 Nb 2.92
Nb (0.0000, 0.0000, 0.0000)  4 Nb 2.92, 4 Ag 2.92
Nb (0.7500, 0.7500, 0.7500)  4 Sb 2.92, 4 Nb 2.92
Sb (0.5000, 0.5000, 0.5000)  4 Nb 2.92, 4 Ag 2.92

As for the space group: F-43m, No. 216. The total energy is -6.4255 eV per atom. The value obtained for the total moment is 0.006 μB per formula unit.